A relaxed structure of NdPt2Rh2. Source: Alexandria via LeMat-Bulk, functional PBE-GGA.

The structure in POSCAR format:
```
NdPt2Rh2
1.0
-1.573 -1.048 -3.536
-1.189 -3.495 1.565
-8.971 7.201 4.131
Rh Nd Pt
4 2 4
Direct
0.174 0.174 0.349
0.826 0.826 0.651
0.000 0.500 0.000
0.500 0.000 0.000
0.631 0.631 0.262
0.369 0.369 0.738
0.071 0.071 0.142
0.929 0.929 0.858
0.750 0.250 0.500
0.250 0.750 0.500
```

Summary:
Total energy = -6.6906 eV per atom
Density of states at the Fermi level = 5.02 states/eV/f.u.
Crystal system = tetragonal

=====

A relaxed structure of CaHo4Bi5. Source: Alexandria via LeMat-Bulk, functional PBE-GGA.

The structure in POSCAR format:
```
CaHo4Bi5
1.0
-0.579 -4.126 -1.629
6.293 -0.814 -0.175
-3.097 -1.643 11.406
Ho Bi Ca
4 5 1
Direct
0.799 0.799 0.598
0.401 0.401 0.803
0.599 0.599 0.197
0.201 0.201 0.402
0.000 0.500 0.000
0.801 0.301 0.602
0.604 0.104 0.209
0.199 0.699 0.398
0.396 0.896 0.791
0.000 0.000 0.000
```

Summary:
Total energy = -4.7724 eV per atom
Density of states at the Fermi level = 3.00 states/eV/f.u.
Crystal system = orthorhombic

=====

A relaxed structure of V3H2. Source: Alexandria via LeMat-Bulk, functional PBE-GGA.

The structure in POSCAR format:
```
V3H2
1.0
-3.335 3.891 0.082
-0.923 -3.274 2.833
4.097 2.896 1.188
H V
4 6
Direct
0.264 0.839 0.410
0.873 0.879 0.120
0.736 0.161 0.590
0.127 0.121 0.880
0.494 0.815 0.673
0.995 0.341 0.172
0.005 0.659 0.828
0.500 0.500 0.000
0.000 0.000 0.500
0.506 0.185 0.327
```

Summary:
Total energy = -6.9766 eV per atom
Density of states at the Fermi level = 2.98 states/eV/f.u.
Crystal system = triclinic